# 1
A geometry-optimized Rb4Cu3HgF12 structure, computed with GGA-PBE.

## Properties
As for the total magnetization: 3.029 μB/f.u. For the raw formation energy, the calculation gives -2.046 eV per atom.

Cell: 7.3831 7.3831 7.3831 Å, 109.47 109.47 109.47°
Positions (direct):
Rb1 0.0000 0.0000 0.5000
Rb2 0.0000 0.5000 0.0000
Rb3 0.5000 0.0000 0.0000
Rb4 0.5000 0.5000 0.5000
Cu1 0.0000 0.5000 0.5000
Cu2 0.5000 0.0000 0.5000
Cu3 0.5000 0.5000 0.0000
Hg1 0.0000 0.0000 0.0000
F1 0.0000 0.2706 0.2706
F2 0.0000 0.7294 0.7294
F3 0.2500 0.5000 0.7500
F4 0.2500 0.7500 0.5000
F5 0.2706 0.0000 0.2706
F6 0.2706 0.2706 0.0000
F7 0.5000 0.2500 0.7500
F8 0.5000 0.7500 0.2500
F9 0.7294 0.0000 0.7294
F10 0.7294 0.7294 0.0000
F11 0.7500 0.2500 0.5000
F12 0.7500 0.5000 0.2500



# 2
A geometry-optimized BaPt6Pb12 structure, computed with GGA-PBE.

## Properties
As for the total magnetization: 0.000 μB/f.u. The value obtained for the uncorrected energy is -86.1 eV for the cell shown.

Cell: 8.5121 8.5121 8.5121 Å, 106.51 106.51 106.51°
Positions (direct):
Ba1 0.0000 0.0000 0.0000
Pt1 0.2584 0.2584 0.7397
Pt2 0.2584 0.7397 0.2584
Pt3 0.2603 0.7416 0.7416
Pt4 0.7397 0.2584 0.2584
Pt5 0.7416 0.2603 0.7416
Pt6 0.7416 0.7416 0.2603
Pb1 0.1186 0.5000 0.8814
Pb2 0.1186 0.8814 0.5000
Pb3 0.1664 0.4360 0.4360
Pb4 0.4360 0.1664 0.4360
Pb5 0.4360 0.4360 0.1664
Pb6 0.5000 0.1186 0.8814
Pb7 0.5000 0.8814 0.1186
Pb8 0.5640 0.5640 0.8336
Pb9 0.5640 0.8336 0.5640
Pb10 0.8336 0.5640 0.5640
Pb11 0.8814 0.1186 0.5000
Pb12 0.8814 0.5000 0.1186



# 3
A geometry-optimized Cs2KNa5Hg2 structure, computed with GGA-PBE.

## Properties
As for the total magnetization: 0.000 μB/f.u. The value obtained for the uncorrected energy is -22.0 eV for the cell shown.

Cell: 13.5650 13.5650 4.9704 Å, 90.00 90.00 90.00°
Positions (direct):
Cs1 0.1748 0.3252 0.0000
Cs2 0.3252 0.8252 0.0000
Cs3 0.6748 0.1748 0.0000
Cs4 0.8252 0.6748 0.0000
K1 0.0000 0.0000 0.0000
K2 0.5000 0.5000 0.0000
Na1 0.0000 0.5000 0.5000
Na2 0.0717 0.7656 0.5000
Na3 0.2344 0.0717 0.5000
Na4 0.2656 0.5717 0.5000
Na5 0.4283 0.2656 0.5000
Na6 0.5000 0.0000 0.5000
Na7 0.5717 0.7344 0.5000
Na8 0.7344 0.4283 0.5000
Na9 0.7656 0.9283 0.5000
Na10 0.9283 0.2344 0.5000
Hg1 0.1176 0.6176 0.0000
Hg2 0.3824 0.1176 0.0000
Hg3 0.6176 0.8824 0.0000
Hg4 0.8824 0.3824 0.0000



# 4
A geometry-optimized TcBi2PdPt structure, computed with GGA-PBE.

## Properties
As for the total magnetization: 4.105 μB/f.u. The value obtained for the uncorrected energy is -23.6 eV for the cell shown.

Cell: 5.1711 5.1711 5.0371 Å, 90.00 90.00 90.00°
Positions (direct):
Tc1 0.0000 0.0000 0.0000
Bi1 0.0000 0.5000 0.5000
Bi2 0.5000 0.0000 0.5000
Pd1 0.0000 0.0000 0.5000
Pt1 0.5000 0.5000 0.0000



# 5
A geometry-optimized AgB2Te2 structure, computed with GGA-PBE.

## Properties
As for the total magnetization: 0.001 μB/f.u. For the raw formation energy, the calculation gives 1.180 eV per atom.

Cell: 7.8121 7.8121 3.4862 Å, 90.00 90.00 90.00°
Positions (direct):
Ag1 0.0000 0.0000 0.0000
Ag2 0.5000 0.5000 0.0000
B1 0.2113 0.2887 0.5000
B2 0.2887 0.7887 0.5000
B3 0.7113 0.2113 0.5000
B4 0.7887 0.7113 0.5000
Te1 0.1626 0.6626 0.0000
Te2 0.3374 0.1626 0.0000
Te3 0.6626 0.8374 0.0000
Te4 0.8374 0.3374 0.0000



# 6
A geometry-optimized Cs2BeF structure, computed with GGA-PBE.

## Properties
As for the total magnetization: 0.859 μB/f.u. For the raw formation energy, the calculation gives -0.594 eV per atom.

Cell: 7.8227 7.8227 7.8227 Å, 113.63 113.63 101.45°
Positions (direct):
Cs1 0.0345 0.1250 0.4095
Cs2 0.3750 0.9655 0.0905
Cs3 0.7155 0.6250 0.5905
Cs4 0.8750 0.2845 0.9095
Be1 0.2500 0.7500 0.5000
Be2 0.5000 0.5000 0.0000
F1 0.0000 0.0000 0.0000
F2 0.7500 0.2500 0.5000



# 7
A geometry-optimized Ho4Er2Se9 structure, computed with GGA-PBE.

## Properties
As for the total magnetization: 0.000 μB/f.u. For the raw formation energy, the calculation gives -1.854 eV per atom.

Cell: 7.1530 7.1546 19.3909 Å, 89.99 89.98 60.02°
Positions (direct):
Ho1 0.1657 0.1669 0.1807
Ho2 0.1662 0.1667 0.9858
Ho3 0.1670 0.1665 0.4854
Ho4 0.1677 0.1664 0.6809
Ho5 0.8323 0.8336 0.3191
Ho6 0.8330 0.8335 0.5146
Ho7 0.8338 0.8333 0.0142
Ho8 0.8343 0.8331 0.8193
Er1 0.4989 0.5014 0.1529
Er2 0.4998 0.4990 0.3473
Er3 0.5002 0.5010 0.6527
Er4 0.5011 0.4986 0.8471
Se1 0.1395 0.5284 0.4167
Se2 0.1416 0.8312 0.9166
Se3 0.1676 0.4729 0.0834
Se4 0.1683 0.8602 0.5833
Se5 0.1954 0.5002 0.7499
Se6 0.1948 0.8055 0.2503
Se7 0.4717 0.1697 0.5831
Se8 0.4720 0.8600 0.0831
Se9 0.4989 0.1953 0.2499
Se10 0.5011 0.8047 0.7501
Se11 0.5280 0.1400 0.9169
Se12 0.5283 0.8303 0.4169
Se13 0.8052 0.1945 0.7497
Se14 0.8046 0.4998 0.2501
Se15 0.8317 0.1398 0.4167
Se16 0.8324 0.5271 0.9166
Se17 0.8584 0.1688 0.0834
Se18 0.8605 0.4716 0.5833



# 8
A geometry-optimized TlSiSb2 structure, computed with GGA-PBE.

## Properties
As for the total magnetization: 0.000 μB/f.u. For the raw formation energy, the calculation gives 0.280 eV per atom.

Cell: 7.0263 7.0263 7.0263 Å, 149.36 140.87 50.50°
Positions (direct):
Tl1 0.0000 0.0000 0.0000
Si1 0.7905 0.2905 0.5000
Sb1 0.2941 0.7941 0.5000
Sb2 0.6297 0.6297 0.0000